# 1
TeS2N2 | PBE | relaxed

It has space group P4/mmm (No. 123), with a = 5.154 Å, b = 5.154 Å, c = 4.068 Å, α = 90.00°, β = 90.00° and γ = 90.00°. Symmetry generates all atoms from Te at (0.000, 0.000, 0.000), S at (0.000, 0.500, 0.000), N at (0.000, 0.000, 0.500) and N at (0.500, 0.500, 0.500).

For the total energy, the calculation gives -3.4418 eV per atom.

=====

# 2
Ca3MnBr6Cl2 | PBE | relaxed

It has space group C2/m (No. 12), with a = 14.064 Å, b = 8.229 Å, c = 6.412 Å, α = 90.00°, β = 93.69° and γ = 90.00°. Symmetry generates all atoms from Ca at (0.000, 0.000, 0.000), Ca at (0.250, 0.250, 0.500), Mn at (0.000, 0.500, 0.500), Br at (0.084, 0.260, 0.748), Br at (0.149, 0.500, 0.263) and Cl at (0.166, 0.000, 0.262).

For the total energy, the calculation gives -4.1944 eV per atom.

=====

# 3
RuPbBr2 | PBE | relaxed

It has space group Pmmm (No. 47), with a = 3.504 Å, b = 4.723 Å, c = 6.040 Å, α = 90.00°, β = 90.00° and γ = 90.00°. Symmetry generates all atoms from Ru at (0.000, 0.000, 0.000), Pb at (0.500, 0.000, 0.500), Br at (0.000, 0.500, 0.500) and Br at (0.500, 0.500, 0.000).

For the total energy, the calculation gives -3.5822 eV per atom.